# PBE La2CeSmS4, relaxed
# - DOS(E_F) (states/eV per atom) = 0.997
# - calculated density (g/cm³) = 6.0
# - total magnetic moment (Bohr magnetons per cell) = 0.79
# - energy relative to the elements, uncorrected (eV per atom) = -2.1022
data_La2CeSmS4
_cell_length_a 7.077
_cell_length_b 4.074
_cell_length_c 7.097
_cell_angle_alpha 90.00
_cell_angle_beta 109.35
_cell_angle_gamma 90.00
_space_group_name_H-M_alt 'P 1 2/m 1'
_space_group_IT_number 10
loop_
_space_group_symop_operation_xyz
'x,y,z'
'-x,-y,-z'
'-x,y,-z'
'x,-y,z'
loop_
_atom_site_label
_atom_site_fract_x
_atom_site_fract_y
_atom_site_fract_z
_atom_site_occupancy
La1 0.000 0.000 0.000 1
La2 0.500 0.500 0.000 1
Ce1 0.000 0.500 0.500 1
Sm1 0.500 0.000 0.500 1
S1 0.248 0.000 0.740 1
S2 0.254 0.500 0.260 1

---

# PBE La3Ce2SmS6, relaxed
# - DOS(E_F) (states/eV per atom) = 1.142
# - calculated density (g/cm³) = 6.0
# - total magnetic moment (Bohr magnetons per cell) = 3.14
# - energy relative to the elements, uncorrected (eV per atom) = -2.1020
data_La3Ce2SmS6
_cell_length_a 7.069
_cell_length_b 12.255
_cell_length_c 7.102
_cell_angle_alpha 90.00
_cell_angle_beta 109.46
_cell_angle_gamma 90.00
_space_group_name_H-M_alt 'C 1 2/m 1'
_space_group_IT_number 12
loop_
_space_group_symop_operation_xyz
'x,y,z'
'-x,-y,-z'
'-x,y,-z'
'x,-y,z'
'x+1/2,y+1/2,z'
'-x+1/2,-y+1/2,-z'
'-x+1/2,y+1/2,-z'
'x+1/2,-y+1/2,z'
loop_
_atom_site_label
_atom_site_fract_x
_atom_site_fract_y
_atom_site_fract_z
_atom_site_occupancy
La1 0.000 0.000 0.000 1
La2 0.000 0.334 0.000 1
Ce1 0.000 0.166 0.500 1
Sm1 0.000 0.500 0.500 1
S1 0.247 0.334 0.741 1
S2 0.248 0.000 0.740 1

---

# PBE SrLa2CeS4, relaxed
# - DOS(E_F) (states/eV per atom) = 1.091
# - calculated density (g/cm³) = 5.2
# - total magnetic moment (Bohr magnetons per cell) = 1.10
# - energy relative to the elements, uncorrected (eV per atom) = -2.0840
data_SrLa2CeS4
_cell_length_a 7.191
_cell_length_b 4.135
_cell_length_c 7.214
_cell_angle_alpha 90.00
_cell_angle_beta 109.27
_cell_angle_gamma 90.00
_space_group_name_H-M_alt 'P 1 2/m 1'
_space_group_IT_number 10
loop_
_space_group_symop_operation_xyz
'x,y,z'
'-x,-y,-z'
'-x,y,-z'
'x,-y,z'
loop_
_atom_site_label
_atom_site_fract_x
_atom_site_fract_y
_atom_site_fract_z
_atom_site_occupancy
Sr1 0.000 0.000 0.000 1
La1 0.500 0.000 0.500 1
La2 0.500 0.500 0.000 1
Ce1 0.000 0.500 0.500 1
S1 0.245 0.000 0.744 1
S2 0.249 0.500 0.255 1

---

# PBE La3Tb3CeS8, relaxed
# - DOS(E_F) (states/eV per atom) = 0.835
# - calculated density (g/cm³) = 5.8
# - total magnetic moment (Bohr magnetons per cell) = 4.66
# - energy relative to the elements, uncorrected (eV per atom) = -2.0803
data_La3Tb3CeS8
_cell_length_a 8.0203
_cell_length_b 8.0203
_cell_length_c 20.0476
_cell_angle_alpha 90.00
_cell_angle_beta 90.00
_cell_angle_gamma 120.00
_space_group_name_H-M_alt 'R -3 m'
_space_group_IT_number 166
_space_group_name_Hall '-R 3 2"'
loop_
_atom_site_label
_atom_site_fract_x
_atom_site_fract_y
_atom_site_fract_z
_atom_site_occupancy
La1 0.0000 0.5000 0.0000 1
Tb1 0.0000 0.5000 0.5000 1
Ce1 0.0000 0.0000 0.5000 1
S1 0.0000 0.0000 0.2443 1
S2 0.0080 0.5040 0.7541 1

---

# PBE LaTb2Ce3S6, relaxed
# - DOS(E_F) (states/eV per atom) = 1.379
# - calculated density (g/cm³) = 6.5
# - total magnetic moment (Bohr magnetons per cell) = 5.00
# - energy relative to the elements, uncorrected (eV per atom) = -2.0513
data_LaTb2Ce3S6
_cell_length_a 6.947
_cell_length_b 12.042
_cell_length_c 6.976
_cell_angle_alpha 90.00
_cell_angle_beta 109.46
_cell_angle_gamma 90.00
_space_group_name_H-M_alt 'C 1 2/m 1'
_space_group_IT_number 12
loop_
_space_group_symop_operation_xyz
'x,y,z'
'-x,-y,-z'
'-x,y,-z'
'x,-y,z'
'x+1/2,y+1/2,z'
'-x+1/2,-y+1/2,-z'
'-x+1/2,y+1/2,-z'
'x+1/2,-y+1/2,z'
loop_
_atom_site_label
_atom_site_fract_x
_atom_site_fract_y
_atom_site_fract_z
_atom_site_occupancy
La1 0.000 0.000 0.000 1
Tb1 0.000 0.333 0.000 1
Ce1 0.000 0.163 0.500 1
Ce2 0.000 0.500 0.500 1
S1 0.238 0.500 0.243 1
S2 0.246 0.328 0.753 1

---

# PBE La2TbCeS4, relaxed
# - DOS(E_F) (states/eV per atom) = 0.964
# - calculated density (g/cm³) = 6.2
# - total magnetic moment (Bohr magnetons per cell) = 0.75
# - energy relative to the elements, uncorrected (eV per atom) = -2.0970
data_La2TbCeS4
_cell_length_a 7.041
_cell_length_b 4.048
_cell_length_c 7.067
_cell_angle_alpha 90.00
_cell_angle_beta 109.28
_cell_angle_gamma 90.00
_space_group_name_H-M_alt 'P 1 2/m 1'
_space_group_IT_number 10
loop_
_space_group_symop_operation_xyz
'x,y,z'
'-x,-y,-z'
'-x,y,-z'
'x,-y,z'
loop_
_atom_site_label
_atom_site_fract_x
_atom_site_fract_y
_atom_site_fract_z
_atom_site_occupancy
La1 0.000 0.000 0.000 1
La2 0.500 0.500 0.000 1
Tb1 0.000 0.500 0.500 1
Ce1 0.500 0.000 0.500 1
S1 0.241 0.000 0.735 1
S2 0.250 0.500 0.262 1

---

# PBE La4Tb3CeS8, relaxed
# - DOS(E_F) (states/eV per atom) = 0.689
# - calculated density (g/cm³) = 6.3
# - total magnetic moment (Bohr magnetons per cell) = 0.01
# - energy relative to the elements, uncorrected (eV per atom) = -2.0955
data_La4Tb3CeS8
_cell_length_a 8.0770
_cell_length_b 8.0770
_cell_length_c 19.9847
_cell_angle_alpha 90.00
_cell_angle_beta 90.00
_cell_angle_gamma 120.00
_space_group_name_H-M_alt 'R -3 m'
_space_group_IT_number 166
_space_group_name_Hall '-R 3 2"'
loop_
_atom_site_label
_atom_site_fract_x
_atom_site_fract_y
_atom_site_fract_z
_atom_site_occupancy
La1 0.0000 0.0000 0.0000 1
La2 0.0000 0.5000 0.0000 1
Tb1 0.0000 0.5000 0.5000 1
Ce1 0.0000 0.0000 0.5000 1
S1 0.0000 0.0000 0.2439 1
S2 0.0036 0.5018 0.7553 1

---

# PBE La4TbCe3S8, relaxed
# - DOS(E_F) (states/eV per atom) = 1.184
# - calculated density (g/cm³) = 6.0
# - total magnetic moment (Bohr magnetons per cell) = 6.15
# - energy relative to the elements, uncorrected (eV per atom) = -2.0987
data_La4TbCe3S8
_cell_length_a 8.1473
_cell_length_b 8.1473
_cell_length_c 20.0334
_cell_angle_alpha 90.00
_cell_angle_beta 90.00
_cell_angle_gamma 120.00
_space_group_name_H-M_alt 'R -3 m'
_space_group_IT_number 166
_space_group_name_Hall '-R 3 2"'
loop_
_atom_site_label
_atom_site_fract_x
_atom_site_fract_y
_atom_site_fract_z
_atom_site_occupancy
La1 0.0000 0.0000 0.0000 1
La2 0.0000 0.5000 0.0000 1
Tb1 0.0000 0.0000 0.5000 1
Ce1 0.0000 0.5000 0.5000 1
S1 0.0000 0.0000 0.2471 1
S2 0.0044 0.5022 0.2460 1

---

Question: DOS(E_F) of number 3 (SrLa2CeS4)?
Answer: 1.091 states/eV per atom

---

Please write out number 1 again, unchanged.
# PBE La2CeSmS4, relaxed
# - DOS(E_F) (states/eV per atom) = 0.997
# - calculated density (g/cm³) = 6.0
# - total magnetic moment (Bohr magnetons per cell) = 0.79
# - energy relative to the elements, uncorrected (eV per atom) = -2.1022
data_La2CeSmS4
_cell_length_a 7.077
_cell_length_b 4.074
_cell_length_c 7.097
_cell_angle_alpha 90.00
_cell_angle_beta 109.35
_cell_angle_gamma 90.00
_space_group_name_H-M_alt 'P 1 2/m 1'
_space_group_IT_number 10
loop_
_space_group_symop_operation_xyz
'x,y,z'
'-x,-y,-z'
'-x,y,-z'
'x,-y,z'
loop_
_atom_site_label
_atom_site_fract_x
_atom_site_fract_y
_atom_site_fract_z
_atom_site_occupancy
La1 0.000 0.000 0.000 1
La2 0.500 0.500 0.000 1
Ce1 0.000 0.500 0.500 1
Sm1 0.500 0.000 0.500 1
S1 0.248 0.000 0.740 1
S2 0.254 0.500 0.260 1